(one)
Entry from the Alexandria database: an optimized crystal structure of LaSc2Ag (GGA-PBE).

Summary:
As for the calculated density: 5.5 g/cm3.

Cell: 5.2487 5.2487 5.2487 Å, 60.00 60.00 60.00°
With the nearest neighbours (Å) after each atom.
Element x y z (fractional)
La1 0.0000 0.0000 0.0000  4 Ag 3.21, 4 Sc 3.21
Sc1 0.2500 0.2500 0.2500  4 La 3.21, 4 Sc 3.21
Sc2 0.5000 0.5000 0.5000  4 Ag 3.21, 4 Sc 3.21
Ag1 0.7500 0.7500 0.7500  4 La 3.21, 4 Sc 3.21

(two)
Entry from the Alexandria database: an optimized crystal structure of LaSc2Ag (GGA-PBE).

Summary:
As for the calculated density: 5.8 g/cm3.

Cell: 5.1421 5.1421 5.1421 Å, 60.00 60.00 60.00°
With the nearest neighbours (Å) after each atom.
Element x y z (fractional)
La1 0.0000 0.0000 0.0000  8 Sc 3.15
Sc1 0.2500 0.2500 0.2500  4 La 3.15, 4 Ag 3.15
Sc2 0.7500 0.7500 0.7500  4 La 3.15, 4 Ag 3.15
Ag1 0.5000 0.5000 0.5000  8 Sc 3.15

(three)
Entry from the Alexandria database: an optimized crystal structure of LaSc2Ag (GGA-PBE).

Summary:
As for the calculated density: 5.5 g/cm3.

Cell: 5.2032 3.6484 5.3403 Å, 90.00 90.10 90.00°
With the nearest neighbours (Å) after each atom.
Element x y z (fractional)
La1 0.0000 0.0000 0.0000  4 Sc 3.18, 4 Ag 3.23
Sc1 0.5000 0.0000 0.5000  4 Ag 3.18, 4 Sc 3.23
Sc2 0.5000 0.5000 0.0000  4 La 3.18, 4 Sc 3.23
Ag1 0.0000 0.5000 0.5000  4 Sc 3.18, 4 La 3.23

(four)
Entry from the Alexandria database: an optimized crystal structure of LaSc2Ag (GGA-PBE).

Summary:
As for the calculated density: 5.4 g/cm3.

Cell: 6.3632 6.3632 6.3632 Å, 148.02 129.80 60.77°
With the nearest neighbours (Å) after each atom.
Element x y z (fractional)
La1 0.0000 0.0000 0.0000  4 Ag 3.22, 2 La 3.51, 4 Sc 3.54
Sc1 0.2799 0.7799 0.5000  2 Ag 2.98, 4 Sc 3.28
Sc2 0.7201 0.2201 0.5000  2 Ag 2.98, 4 Sc 3.28
Ag1 0.5000 0.5000 0.0000  4 Sc 2.98, 4 La 3.22

The most stable of them is (four).